Density functional theory data (PBE) for Ac4InGa3 after structural relaxation.

a b c (Å): 4.440 4.826 12.060
angles (deg): 90.00 90.00 90.00
Element x y z (fractional)
Ac 0.000 0.000 0.000
Ac 0.000 0.500 0.485
Ac 0.500 0.000 0.704
Ac 0.500 0.500 0.213
In 0.000 0.500 0.785
Ga 0.000 0.000 0.285
Ga 0.500 0.000 0.416
Ga 0.500 0.500 0.929

Computed properties:
- volume (Å³/f.u.) = 258
- D(E_F) (states/eV/f.u.) = 7.25
- E_tot (eV per atom) = -4.0157

Density functional theory data (PBE) for TiPd2Au6 after structural relaxation.

a b c (Å): 6.568 6.568 6.554
angles (deg): 107.59 107.59 35.02
Element x y z (fractional)
Ti 0.000 0.000 0.000
Pd 0.450 0.450 0.682
Pd 0.550 0.550 0.318
Au 0.109 0.109 0.670
Au 0.219 0.219 0.333
Au 0.339 0.339 0.995
Au 0.661 0.661 0.005
Au 0.781 0.781 0.667
Au 0.891 0.891 0.330

Computed properties:
- volume (Å³/f.u.) = 154
- D(E_F) (states/eV/f.u.) = 4.05
- E_tot (eV per atom) = -4.4473

Density functional theory data (PBE) for La2GaSnPt after structural relaxation.

a b c (Å): 6.087 6.087 5.168
angles (deg): 90.00 90.00 90.00
Element x y z (fractional)
La 0.000 0.500 0.000
La 0.500 0.000 0.000
Ga 0.000 0.000 0.000
Sn 0.000 0.000 0.500
Pt 0.500 0.500 0.500

Computed properties:
- volume (Å³/f.u.) = 191
- D(E_F) (states/eV/f.u.) = 4.97
- E_tot (eV per atom) = -4.4019

Density functional theory data (PBE) for HoErLuZr after structural relaxation.

a b c (Å): 5.441 5.441 5.441
angles (deg): 60.00 60.00 60.00
Element x y z (fractional)
Ho 0.000 0.000 0.000
Er 0.750 0.750 0.750
Lu 0.250 0.250 0.250
Zr 0.500 0.500 0.500

Computed properties:
- volume (Å³/f.u.) = 114
- D(E_F) (states/eV/f.u.) = 6.92
- E_tot (eV per atom) = -5.3527

Density functional theory data (PBE) for NaCaCdAu after structural relaxation.

a b c (Å): 5.203 5.203 5.203
angles (deg): 60.00 60.00 60.00
Element x y z (fractional)
Na 0.000 0.000 0.000
Ca 0.500 0.500 0.500
Cd 0.750 0.750 0.750
Au 0.250 0.250 0.250

Computed properties:
- volume (Å³/f.u.) = 100
- D(E_F) (states/eV/f.u.) = 2.71
- E_tot (eV per atom) = -2.2302

Density functional theory data (PBE) for Tb3CO after structural relaxation.

a b c (Å): 9.241 9.241 6.252
angles (deg): 108.18 108.18 80.41
Element x y z (fractional)
Tb 0.019 0.808 0.953
Tb 0.104 0.622 0.369
Tb 0.192 0.981 0.547
Tb 0.297 0.529 0.905
Tb 0.378 0.896 0.131
Tb 0.471 0.703 0.595
Tb 0.529 0.297 0.405
Tb 0.622 0.104 0.869
Tb 0.703 0.471 0.095
Tb 0.808 0.019 0.453
Tb 0.896 0.378 0.631
Tb 0.981 0.192 0.047
C 0.252 0.748 0.750
C 0.288 0.712 0.250
C 0.712 0.288 0.750
C 0.748 0.252 0.250
O 0.018 0.154 0.680
O 0.154 0.018 0.180
O 0.846 0.982 0.820
O 0.982 0.846 0.320

Computed properties:
- volume (Å³/f.u.) = 120
- formation energy from raw total energies (meV per atom) = -1150
- D(E_F) (states/eV/f.u.) = 2.77

Density functional theory data (PBE) for Sr2LiIn2 after structural relaxation.

a b c (Å): 9.466 9.466 3.944
angles (deg): 90.00 90.00 90.00
Element x y z (fractional)
Sr 0.171 0.329 0.000
Sr 0.329 0.829 0.000
Sr 0.671 0.171 0.000
Sr 0.829 0.671 0.000
Li 0.000 0.000 0.000
Li 0.500 0.500 0.000
In 0.124 0.624 0.500
In 0.376 0.124 0.500
In 0.624 0.876 0.500
In 0.876 0.376 0.500

Computed properties:
- volume (Å³/f.u.) = 177
- D(E_F) (states/eV/f.u.) = 2.38
- E_tot (eV per atom) = -2.2862

Density functional theory data (PBE) for AcLa4DyEr2 after structural relaxation.

a b c (Å): 6.361 6.361 10.520
angles (deg): 114.48 114.48 48.74
Element x y z (fractional)
Ac 0.000 0.000 0.000
La 0.247 0.247 0.869
La 0.251 0.251 0.378
La 0.749 0.749 0.622
La 0.753 0.753 0.131
Dy 0.000 0.000 0.500
Er 0.499 0.499 0.256
Er 0.501 0.501 0.744

Computed properties:
- volume (Å³/f.u.) = 285
- D(E_F) (states/eV/f.u.) = 13.60
- E_tot (eV per atom) = -4.6569

Density functional theory data (PBE) for Ce3In2Au after structural relaxation.

a b c (Å): 3.990 3.990 10.197
angles (deg): 90.00 90.00 90.00
Element x y z (fractional)
Ce 0.000 0.000 0.000
Ce 0.000 0.000 0.352
Ce 0.000 0.000 0.648
In 0.500 0.500 0.174
In 0.500 0.500 0.826
Au 0.500 0.500 0.500

Computed properties:
- volume (Å³/f.u.) = 162
- D(E_F) (states/eV/f.u.) = 19.16
- E_tot (eV per atom) = -4.8175

Density functional theory data (PBE) for SiNiPd3 after structural relaxation.

a b c (Å): 4.464 4.464 4.464
angles (deg): 90.00 90.00 90.00
Element x y z (fractional)
Si 0.000 0.000 0.000
Ni 0.500 0.500 0.500
Pd 0.000 0.000 0.500
Pd 0.000 0.500 0.000
Pd 0.500 0.000 0.000

Computed properties:
- volume (Å³/f.u.) = 89
- formation energy from raw total energies (meV per atom) = 334
- D(E_F) (states/eV/f.u.) = 8.40

Density functional theory data (PBE) for Hf4GaSe8 after structural relaxation.

a b c (Å): 8.564 8.564 8.564
angles (deg): 51.90 51.90 51.90
Element x y z (fractional)
Hf 0.000 0.000 0.000
Hf 0.000 0.500 0.500
Hf 0.500 0.000 0.500
Hf 0.500 0.500 0.000
Ga 0.500 0.500 0.500
Se 0.239 0.239 0.741
Se 0.239 0.741 0.239
Se 0.259 0.761 0.761
Se 0.262 0.262 0.262
Se 0.738 0.738 0.738
Se 0.741 0.239 0.239
Se 0.761 0.259 0.761
Se 0.761 0.761 0.259

Computed properties:
- volume (Å³/f.u.) = 360
- formation energy from raw total energies (meV per atom) = -1227
- D(E_F) (states/eV/f.u.) = 2.93

Density functional theory data (PBE) for LaPr4Cd after structural relaxation.

a b c (Å): 3.748 3.748 14.578
angles (deg): 90.00 90.00 90.00
Element x y z (fractional)
La 0.000 0.000 0.000
Pr 0.000 0.000 0.357
Pr 0.000 0.000 0.643
Pr 0.500 0.500 0.180
Pr 0.500 0.500 0.820
Cd 0.500 0.500 0.500

Computed properties:
- volume (Å³/f.u.) = 205
- D(E_F) (states/eV/f.u.) = 8.24
- E_tot (eV per atom) = -4.2591

Density functional theory data (PBE) for HoZrOsAu after structural relaxation.

a b c (Å): 4.837 4.837 4.837
angles (deg): 60.00 60.00 60.00
Element x y z (fractional)
Ho 0.000 0.000 0.000
Zr 0.500 0.500 0.500
Os 0.750 0.750 0.750
Au 0.250 0.250 0.250

Computed properties:
- volume (Å³/f.u.) = 80
- D(E_F) (states/eV/f.u.) = 3.76
- E_tot (eV per atom) = -7.3315

Density functional theory data (PBE) for TbPmLu2 after structural relaxation.

a b c (Å): 5.024 5.024 4.936
angles (deg): 90.00 90.00 90.00
Element x y z (fractional)
Tb 0.000 0.000 0.000
Pm 0.500 0.500 0.000
Lu 0.000 0.500 0.500
Lu 0.500 0.000 0.500

Computed properties:
- volume (Å³/f.u.) = 125
- D(E_F) (states/eV/f.u.) = 6.28
- E_tot (eV per atom) = -4.5778

Density functional theory data (PBE) for LiBe2V2 after structural relaxation.

a b c (Å): 6.014 6.014 6.014
angles (deg): 147.03 147.03 47.33
Element x y z (fractional)
Li 0.000 0.000 0.000
Be 0.250 0.750 0.500
Be 0.750 0.250 0.500
V 0.414 0.414 0.000
V 0.586 0.586 0.000

Computed properties:
- volume (Å³/f.u.) = 64
- D(E_F) (states/eV/f.u.) = 5.12
- E_tot (eV per atom) = -4.7891

Density functional theory data (PBE) for PrNd2Sm after structural relaxation.

a b c (Å): 6.380 6.380 6.380
angles (deg): 131.88 131.88 70.42
Element x y z (fractional)
Pr 0.000 0.000 0.000
Nd 0.500 0.500 0.000
Nd 0.750 0.250 0.500
Sm 0.250 0.750 0.500

Computed properties:
- volume (Å³/f.u.) = 141
- D(E_F) (states/eV/f.u.) = 6.55
- E_tot (eV per atom) = -4.7438

Density functional theory data (PBE) for Sr2Al4GePd3 after structural relaxation.

a b c (Å): 4.383 4.383 10.699
angles (deg): 90.00 90.00 90.00
Element x y z (fractional)
Sr 0.000 0.500 0.248
Sr 0.500 0.000 0.752
Al 0.000 0.000 0.500
Al 0.000 0.500 0.866
Al 0.500 0.000 0.134
Al 0.500 0.500 0.500
Ge 0.500 0.500 0.000
Pd 0.000 0.000 0.000
Pd 0.000 0.500 0.626
Pd 0.500 0.000 0.374

Computed properties:
- volume (Å³/f.u.) = 206
- D(E_F) (states/eV/f.u.) = 4.77
- E_tot (eV per atom) = -4.5120

Density functional theory data (PBE) for Pa2AgAs after structural relaxation.

a b c (Å): 10.541 10.541 10.541
angles (deg): 18.20 18.20 18.20
Element x y z (fractional)
Pa 0.099 0.099 0.099
Pa 0.901 0.901 0.901
Ag 0.000 0.000 0.000
As 0.500 0.500 0.500

Computed properties:
- volume (Å³/f.u.) = 100
- D(E_F) (states/eV/f.u.) = 5.86
- E_tot (eV per atom) = -6.4677

Density functional theory data (PBE) for TlAgSe2 after structural relaxation.

a b c (Å): 9.471 4.737 11.346
angles (deg): 90.00 120.12 90.00
Element x y z (fractional)
Tl 0.198 0.008 0.458
Tl 0.198 0.492 0.958
Tl 0.802 0.508 0.042
Tl 0.802 0.992 0.542
Ag 0.395 0.559 0.724
Ag 0.395 0.941 0.224
Ag 0.605 0.059 0.776
Ag 0.605 0.441 0.276
Se 0.080 0.063 0.120
Se 0.080 0.437 0.620
Se 0.405 0.022 0.877
Se 0.405 0.478 0.377
Se 0.595 0.522 0.623
Se 0.595 0.978 0.123
Se 0.920 0.563 0.380
Se 0.920 0.937 0.880

Computed properties:
- volume (Å³/f.u.) = 110
- formation energy from raw total energies (meV per atom) = -170
- D(E_F) (states/eV/f.u.) = 0.00

Density functional theory data (PBE) for TiZn4Au after structural relaxation.

a b c (Å): 4.320 4.320 5.747
angles (deg): 90.00 90.00 120.00
Element x y z (fractional)
Ti 0.000 0.000 0.000
Zn 0.333 0.667 0.241
Zn 0.333 0.667 0.759
Zn 0.667 0.333 0.241
Zn 0.667 0.333 0.759
Au 0.000 0.000 0.500

Computed properties:
- volume (Å³/f.u.) = 93
- D(E_F) (states/eV/f.u.) = 3.65
- E_tot (eV per atom) = -2.9023

Density functional theory data (PBE) for CsScCd2I8 after structural relaxation.

a b c (Å): 8.664 8.664 10.235
angles (deg): 90.00 90.00 120.00
Element x y z (fractional)
Cs 0.000 0.000 0.000
Sc 0.000 0.000 0.500
Cd 0.333 0.667 0.237
Cd 0.667 0.333 0.763
I 0.152 0.304 0.325
I 0.152 0.848 0.325
I 0.304 0.152 0.675
I 0.333 0.667 0.971
I 0.667 0.333 0.029
I 0.696 0.848 0.325
I 0.848 0.152 0.675
I 0.848 0.696 0.675

Computed properties:
- volume (Å³/f.u.) = 665
- formation energy from raw total energies (meV per atom) = -859

Density functional theory data (PBE) for Na3Sb4S8 after structural relaxation.

a b c (Å): 7.941 7.941 7.813
angles (deg): 119.14 119.14 91.20
Element x y z (fractional)
Na 0.000 0.000 0.000
Na 0.000 0.500 0.000
Na 0.500 0.000 0.000
Sb 0.000 0.500 0.500
Sb 0.500 0.000 0.500
Sb 0.500 0.500 0.000
Sb 0.500 0.500 0.500
S 0.257 0.257 0.505
S 0.257 0.743 0.000
S 0.265 0.735 0.500
S 0.275 0.275 0.041
S 0.725 0.725 0.959
S 0.735 0.265 0.500
S 0.743 0.257 0.000
S 0.743 0.743 0.495

Computed properties:
- volume (Å³/f.u.) = 354
- formation energy from raw total energies (meV per atom) = -490
- D(E_F) (states/eV/f.u.) = 4.19

Density functional theory data (PBE) for PuGa2BiAu5 after structural relaxation.

a b c (Å): 5.008 5.008 7.709
angles (deg): 90.00 90.00 90.00
Element x y z (fractional)
Pu 0.000 0.000 0.000
Ga 0.500 0.500 0.342
Ga 0.500 0.500 0.658
Bi 0.000 0.000 0.500
Au 0.000 0.500 0.234
Au 0.000 0.500 0.766
Au 0.500 0.000 0.234
Au 0.500 0.000 0.766
Au 0.500 0.500 0.000

Computed properties:
- volume (Å³/f.u.) = 193
- D(E_F) (states/eV/f.u.) = 19.86
- E_tot (eV per atom) = -4.7068

Density functional theory data (PBE) for ReB4 after structural relaxation.

a b c (Å): 4.123 4.123 4.123
angles (deg): 90.00 90.00 90.00
Element x y z (fractional)
Re 0.000 0.000 0.000
B 0.000 0.000 0.500
B 0.000 0.500 0.000
B 0.500 0.000 0.000
B 0.500 0.500 0.500

Computed properties:
- volume (Å³/f.u.) = 70
- D(E_F) (states/eV/f.u.) = 3.14
- E_tot (eV per atom) = -5.9495

Density functional theory data (PBE) for PmFeTcSb after structural relaxation.

a b c (Å): 4.680 4.680 4.680
angles (deg): 60.00 60.00 60.00
Element x y z (fractional)
Pm 0.000 0.000 0.000
Fe 0.250 0.250 0.250
Tc 0.750 0.750 0.750
Sb 0.500 0.500 0.500

Computed properties:
- volume (Å³/f.u.) = 73
- formation energy from raw total energies (meV per atom) = 106
- D(E_F) (states/eV/f.u.) = 4.89